Below is an optimized crystal structure of CsLiAl2Mo, with properties calculated at the PBE-GGA level.

Cell: 5.4485 4.4713 5.4485 Å, 90.00 90.00 90.00°
Positions (direct):
1 Cs 0.0000 0.0000 0.0000
2 Mo 0.5000 0.5000 0.5000
3 Al 0.0000 0.0000 0.5000
4 Al 0.5000 0.0000 0.0000
5 Li 0.0000 0.5000 0.0000

Output
- Total energy: -9.5 eV for the cell shown
- ΔH_f (0 K): 11.6 eV/f.u.
- SG: P4/mmm, No. 123
- M_tot: 0.000 μB per formula unit